[1]
{"formula": "CdHgPd2", "functional": "PBE-GGA", "state": "optimized geometry", "crystal_system": "cubic", "delta_e_f_ev_per_atom": -0.283, "dft_energy_ha_per_atom": -0.1170, "m_tot_mub_per_cell": 0.0, "lattice": [[-2.454, -3.391, -2.032], [1.364, -4.429, 0.416], [-2.474, -2.961, 2.601]], "species": ["Hg", "Pd", "Pd", "Cd"], "fractional_positions": [[0.250, 0.250, 0.250], [0.500, 0.500, 0.500], [0.000, 0.000, 0.000], [0.750, 0.750, 0.750]]}

[2]
{"formula": "CdHg2Pd2", "functional": "PBE-GGA", "state": "optimized geometry", "de_polymorph_ev_per_fu": 0.998, "crystal_system": "tetragonal", "delta_e_f_ev_per_atom": 0.035, "dft_energy_ha_per_atom": -0.0862, "m_tot_mub_per_cell": 0.0, "lattice": [[3.984, 0.000, 0.000], [0.000, 3.984, 0.000], [1.992, 1.992, 6.683]], "species": ["Hg", "Hg", "Pd", "Pd", "Cd"], "fractional_positions": [[0.750, 0.250, 0.500], [0.250, 0.750, 0.500], [0.403, 0.403, 0.195], [0.597, 0.597, 0.805], [0.000, 0.000, 0.000]]}

[3]
{"formula": "Cd6HgPd5", "functional": "PBE-GGA", "state": "optimized geometry", "crystal_system": "orthorhombic", "delta_e_f_ev_per_atom": -0.314, "dft_energy_ha_per_atom": -0.1088, "m_tot_mub_per_cell": 0.0, "lattice": [[4.147, 0.016, -1.209], [-1.068, 6.856, -3.571], [0.041, -0.345, 7.851]], "species": ["Hg", "Pd", "Pd", "Pd", "Pd", "Pd", "Cd", "Cd", "Cd", "Cd", "Cd", "Cd"], "fractional_positions": [[0.000, 0.000, 0.000], [0.655, 0.155, 0.310], [0.325, 0.325, 0.651], [0.000, 0.500, 0.000], [0.675, 0.675, 0.349], [0.345, 0.845, 0.690], [0.829, 0.565, 0.657], [0.829, 0.092, 0.657], [0.500, 0.726, 0.000], [0.500, 0.274, 0.000], [0.171, 0.908, 0.343], [0.171, 0.435, 0.343]]}

[4]
{"formula": "Cd6HgPd", "functional": "PBE-GGA", "state": "optimized geometry", "crystal_system": "triclinic", "delta_e_f_ev_per_atom": -0.086, "dft_energy_ha_per_atom": -0.0536, "m_tot_mub_per_cell": 0.0, "lattice": [[-4.248, 8.575, -0.661], [-4.585, 4.029, 5.659], [-1.291, 6.643, 2.916]], "species": ["Cd", "Cd", "Cd", "Cd", "Cd", "Cd", "Hg", "Pd"], "fractional_positions": [[0.087, 0.576, 0.622], [0.764, 0.015, 0.613], [0.546, 0.302, 0.269], [0.236, 0.985, 0.387], [0.913, 0.424, 0.378], [0.454, 0.698, 0.731], [0.000, 0.000, 0.000], [0.500, 0.500, 0.500]]}